Entry 1:
Computed, not measured: PmSnPt after structural relaxation at the GGA-PBE level of DFT.

The space group is P-6m2 (No. 187) and the conventional cell measures 4.7011, 4.7011 and 3.6953 Å, with angles of 90.00, 90.00 and 120.00 degrees. The distinct sites, in fractional coordinates, are Pm at (0.0000, 0.0000, 0.0000), Sn at (0.3333, 0.6667, 0.5000) and Pt at (0.6667, 0.3333, 0.5000).

The calculation puts the energy relative to the elements at -95.5 kJ per mole of atoms. As for the uncorrected energy: -5.921 eV per atom. The density is 10.77 Mg/m³. For the energy above the lowest structure with this stoichiometry, the calculation gives 0.047 eV per atom. The value obtained for the total magnetization is 0.00 μB per cell. Its crystal system is hexagonal.

Entry 2:
Computed, not measured: BaCa3Pt after structural relaxation at the GGA-PBE level of DFT.

The space group is P-1 (No. 2) and the conventional cell measures 7.0277, 7.9936 and 8.1575 Å, with angles of 117.13, 90.81 and 90.08 degrees. The distinct sites, in fractional coordinates, are Ba at (0.1815, 0.3624, 0.1275), Ca at (0.1893, 0.8574, 0.6232), Ca at (0.3168, 0.3572, 0.6221), Ca at (0.3268, 0.8816, 0.1504), Pt at (0.0000, 0.5000, 0.5000) and Pt at (0.5000, 0.0000, 0.5000).

The calculation puts the energy relative to the elements at -43.4 kJ per mole of atoms. As for the uncorrected energy: -3.243 eV per atom. The density is 3.69 Mg/m³. For the energy above the lowest structure with this stoichiometry, the calculation gives 0.012 eV per atom. The value obtained for the total magnetization is 0.00 μB per cell. Its crystal system is triclinic.

Entry 3:
Computed, not measured: In2GaHg7 after structural relaxation at the GGA-PBE level of DFT.

The space group is C2/c (No. 15) and the conventional cell measures 13.0822, 8.8783 and 10.6788 Å, with angles of 90.00, 122.19 and 90.00 degrees. The distinct sites, in fractional coordinates, are In at (0.1526, 0.0510, 0.1042), Ga at (0.0000, 0.4053, 0.7500), Hg at (0.0000, 0.0318, 0.7500), Hg at (0.0887, 0.3026, 0.5721), Hg at (0.1393, 0.3017, 0.3103) and Hg at (0.2100, 0.3948, 0.0622).

The calculation puts the energy relative to the elements at 3.2 kJ per mole of atoms. As for the uncorrected energy: -1.029 eV per atom. The density is 10.78 Mg/m³. The value obtained for the total magnetization is 0.00 μB per cell. Its crystal system is monoclinic.

Entry 4:
Computed, not measured: Na2LaSeO4 after structural relaxation at the GGA-PBE level of DFT.

The space group is I-4 (No. 82) and the conventional cell measures 5.9981, 5.9981 and 6.5642 Å, with angles of 90.00, 90.00 and 90.00 degrees. The distinct sites, in fractional coordinates, are Na at (0.0000, 0.0000, 0.0000), Na at (0.0000, 0.5000, 0.2500), La at (0.0000, 0.0000, 0.5000), Se at (0.0000, 0.5000, 0.7500) and O at (0.1951, 0.2260, 0.7431).

As for the uncorrected energy: -5.565 eV per atom. The uncorrected formation energy comes out at -1.70 eV per atom. The density is 4.61 Mg/m³. The value obtained for the total magnetization is 1.90 μB per cell. Its crystal system is tetragonal.

Entry 5:
Computed, not measured: GaTcRhO6 after structural relaxation at the GGA-PBE level of DFT.

The space group is P-31c (No. 163) and the conventional cell measures 5.0632, 5.0632 and 8.5880 Å, with angles of 90.00, 90.00 and 120.00 degrees. The distinct sites, in fractional coordinates, are Ga at (0.3333, 0.6667, 0.2500), Tc at (0.3333, 0.6667, 0.7500), Rh at (0.0000, 0.0000, 0.0000) and O at (0.0069, 0.3472, 0.6276).

As for the uncorrected energy: -6.788 eV per atom. The uncorrected formation energy comes out at -1.18 eV per atom. The density is 6.39 Mg/m³. The value obtained for the total magnetization is 0.01 μB per cell. Its crystal system is trigonal.

Entry 6:
Computed, not measured: KGa2AsSe6 after structural relaxation at the GGA-PBE level of DFT.

The space group is C2/c (No. 15) and the conventional cell measures 14.4527, 14.1211 and 7.4685 Å, with angles of 90.00, 115.44 and 90.00 degrees. The distinct sites, in fractional coordinates, are K at (0.0000, 0.0465, 0.2500), Ga at (0.2191, 0.4269, 0.1382), As at (0.0000, 0.2510, 0.7500), Se at (0.0656, 0.3337, 0.0584), Se at (0.1157, 0.1592, 0.6610) and Se at (0.2301, 0.4284, 0.4850).

As for the uncorrected energy: -3.682 eV per atom. The uncorrected formation energy comes out at -0.41 eV per atom. The density is 3.51 Mg/m³. The value obtained for the total magnetization is 0.00 μB per cell. Its crystal system is monoclinic.

Entry 7:
Computed, not measured: YEr7Sc3 after structural relaxation at the GGA-PBE level of DFT.

The space group is P2/m (No. 10) and the conventional cell measures 6.6341, 5.3478 and 9.5235 Å, with angles of 90.00, 104.44 and 90.00 degrees. The distinct sites, in fractional coordinates, are Y at (0.0000, 0.0000, 0.0000), Er at (0.0000, 0.0000, 0.5000), Er at (0.1572, 0.5000, 0.7798), Er at (0.3194, 0.5000, 0.1299), Er at (0.4566, 0.0000, 0.3298), Sc at (0.2730, 0.5000, 0.4792) and Sc at (0.5000, 0.0000, 0.0000).

The calculation puts the energy relative to the elements at 13.9 kJ per mole of atoms. As for the uncorrected energy: -5.074 eV per atom. The density is 7.08 Mg/m³. For the energy above the lowest structure with this stoichiometry, the calculation gives 0.000 eV per atom. The value obtained for the total magnetization is 0.00 μB per cell. Its crystal system is monoclinic.

Entry 8:
Computed, not measured: Nd6Ho2Tm3In after structural relaxation at the GGA-PBE level of DFT.

The space group is C2/m (No. 12) and the conventional cell measures 6.1757, 10.7185 and 11.7594 Å, with angles of 90.00, 100.18 and 90.00 degrees. The distinct sites, in fractional coordinates, are Nd at (0.2444, 0.0000, 0.2497), Nd at (0.2468, 0.1639, 0.7493), Ho at (0.0000, 0.3336, 0.5000), Tm at (0.0000, 0.1675, 0.0000), Tm at (0.0000, 0.5000, 0.0000) and In at (0.0000, 0.0000, 0.5000).

The calculation puts the energy relative to the elements at -3.1 kJ per mole of atoms. As for the uncorrected energy: -4.525 eV per atom. The density is 7.88 Mg/m³. The value obtained for the total magnetization is 0.00 μB per cell. Its crystal system is monoclinic.